# 1
This record from Alexandria via LeMat-Bulk describes an optimized crystal structure of K2HfCuRh. The functional is GGA-PBE.

Properties
ΔH_f (0 K): 1.525 eV/atom

Cell: 5.7512 5.7512 4.7697 Å, 90.00 90.00 90.00°
Last column: nearest neighbours and their distance in Å.
Atoms (fractional coordinates):
K  0.0000  0.5000  0.0000  2 Rh 2.88
K  0.5000  0.0000  0.0000  2 Rh 2.88
Hf  0.0000  0.0000  0.5000  8 K 3.74, 4 Cu 4.07
Cu  0.5000  0.5000  0.5000  2 Rh 2.38
Rh  0.5000  0.5000  0.0000  2 Cu 2.38


# 2
This record from Alexandria via LeMat-Bulk describes an optimized crystal structure of CsTl4Au2. The functional is GGA-PBE.

Properties
ΔH_f (0 K): -0.115 eV/atom
polymorph energy (0 for the lowest one): 0 meV/atom

Cell: 9.1787 9.1787 4.9584 Å, 90.00 90.00 148.22°
Last column: nearest neighbours and their distance in Å.
Atoms (fractional coordinates):
Cs  0.0000  0.0000  0.0000  8 Au 3.80, 8 Tl 4.03-4.07
Tl  0.1796  0.8204  0.5000  2 Au 3.08
Tl  0.3190  0.6810  0.0000  2 Au 3.07
Tl  0.6810  0.3190  0.0000  2 Au 3.07
Tl  0.8204  0.1796  0.5000  2 Au 3.08
Au  0.4210  0.5790  0.5000  1 Au 2.79, 4 Tl 3.07-3.08
Au  0.5790  0.4210  0.5000  1 Au 2.79, 4 Tl 3.07-3.08


The evaluated DOS at the Fermi energy for the records listed, in turn: 9.38 3.04 states/eV/cell.